## YTiBi2 (PBE)

Data for an optimized crystal structure of YTiBi2.

CIF file:
```
data_YTiBi2
_chemical_formula_sum 'Y4 Ti4 Bi8'
_cell_length_a 7.4776
_cell_length_b 7.4776
_cell_length_c 7.4776
_cell_angle_alpha 90.00
_cell_angle_beta 90.00
_cell_angle_gamma 90.00
_space_group_name_H-M_alt 'F m -3 m'
_space_group_IT_number 225
_space_group_name_Hall '-F 4 2 3'
loop_
_atom_site_label
_atom_site_type_symbol
_atom_site_fract_x
_atom_site_fract_y
_atom_site_fract_z
_atom_site_occupancy
Y1 Y 0.0000 0.0000 0.0000 1
Ti1 Ti 0.0000 0.0000 0.5000 1
Bi1 Bi 0.2500 0.2500 0.2500 1
```

Output
* formation energy from the elements: -0.256 eV per atom
* excess energy over the best structure of this formula in the dataset: 0.000 eV/atom
* electronic total energy: -5.7862 eV per atom

=====

## YTi3Bi (PBE)

Data for an optimized crystal structure of YTi3Bi.

CIF file:
```
data_YTi3Bi
_chemical_formula_sum 'Y1 Ti3 Bi1'
_cell_length_a 4.9617
_cell_length_b 4.9617
_cell_length_c 4.9617
_cell_angle_alpha 90.00
_cell_angle_beta 90.00
_cell_angle_gamma 90.00
_space_group_name_H-M_alt 'P m -3 m'
_space_group_IT_number 221
_space_group_name_Hall '-P 4 2 3'
loop_
_atom_site_label
_atom_site_type_symbol
_atom_site_fract_x
_atom_site_fract_y
_atom_site_fract_z
_atom_site_occupancy
Y1 Y 0.0000 0.0000 0.0000 1
Ti1 Ti 0.0000 0.0000 0.5000 1
Bi1 Bi 0.5000 0.5000 0.5000 1
```

Output
* formation energy from the elements: 1.290 eV per atom
* excess energy over the best structure of this formula in the dataset: 0.440 eV/atom
* electronic total energy: -5.5161 eV per atom

=====

Question: What is the formula in the first record?
Answer: YTiBi2